Arrangement a

The following is a GGA-PBE calculation of a relaxed NpMnC crystal, from the Alexandria database.

* magnetization: 0.0 μB per formula unit
* density: 13.5 g/cm3

abc: 4.9442 4.9442 5.6612
angles: 117.99 117.99 38.51
Closest atoms and distances in Å follow each position.
Positions (direct):
Np (0.1420, 0.1420, 0.4519)  2 Np 2.43, 2 C 2.53, 1 Mn 2.55
Np (0.8580, 0.8580, 0.5481)  2 Np 2.43, 2 C 2.53, 1 Mn 2.55
Mn (0.1616, 0.1616, 0.0178)  3 C 1.96-1.98
Mn (0.8384, 0.8384, 0.9822)  3 C 1.96-1.98
C (0.4053, 0.4053, 0.2050)  3 Mn 1.96-1.98
C (0.5947, 0.5947, 0.7950)  3 Mn 1.96-1.98

---

Arrangement b

The following is a GGA-PBE calculation of a relaxed NpMnC crystal, from the Alexandria database.

* magnetization: 1.5 μB per formula unit
* density: 12.9 g/cm3

abc: 3.5657 3.5657 3.5632
angles: 90.00 90.00 120.00
Closest atoms and distances in Å follow each position.
Positions (direct):
Np (0.0000, 0.0000, 0.0000)  6 Mn 2.72, 6 C 2.72
Mn (0.6667, 0.3333, 0.5000)  3 C 2.06
C (0.3333, 0.6667, 0.5000)  3 Mn 2.06

---

Stability verdict: arrangement b, ahead by 1.7 kJ/mol of atoms